# 1
{
  "formula": "CsNa3Sn",
  "functional": "meta-GGA SCAN",
  "state": "single point on PBEsol structure",
  "dos_ef_per_ev_atom": 0.2158,
  "formation_enthalpy_0k_ev_per_atom": -0.158,
  "energy_ev_per_atom": -17.4335,
  "space_group": "No. 221",
  "lattice": [[-0.6074, -5.0769, 3.1735], [5.3234, 1.0019, 2.6216], [-2.7400, 3.0718, 4.3899]],
  "species": ["Cs", "Na", "Na", "Na", "Sn"],
  "fractional_positions": [[0.5000, 0.5000, 0.5000], [0.0000, 0.5000, 0.0000], [0.0000, 0.0000, 0.5000], [0.5000, 0.0000, 0.0000], [0.0000, 0.0000, 0.0000]]
}

=====

# 2
{
  "formula": "MgAsCl2",
  "functional": "meta-GGA SCAN",
  "state": "single point on PBEsol structure",
  "e_form_raw_mev_per_atom": -559,
  "dos_ef_per_ev_atom": 0.1555,
  "energy_ev_per_atom": -10.8390,
  "space_group": "No. 47",
  "lattice": [[3.2286, 0.0000, 0.0000], [0.0000, 4.2488, 0.0000], [0.0000, 0.0000, 5.6667]],
  "species": ["As", "Cl", "Cl", "Mg"],
  "fractional_positions": [[0.0000, 0.5000, 0.5000], [0.0000, 0.0000, 0.0000], [0.5000, 0.0000, 0.5000], [0.5000, 0.5000, 0.0000]]
}

=====

# 3
{
  "formula": "SrCa5",
  "functional": "meta-GGA SCAN",
  "state": "single point on PBEsol structure",
  "dos_ef_per_ev_atom": 1.0228,
  "formation_enthalpy_0k_ev_per_atom": 0.013,
  "energy_ev_per_atom": -11.7527,
  "space_group": "No. 8",
  "lattice": [[3.8998, 0.0008, 0.0006], [-1.9484, 7.2789, -0.0008], [0.0009, -2.5829, 8.9564]],
  "species": ["Sr", "Ca", "Ca", "Ca", "Ca", "Ca"],
  "fractional_positions": [[0.2786, 0.5570, 0.0563], [0.0025, 0.0051, 0.9977], [0.3330, 0.6664, 0.6639], [0.6637, 0.3278, 0.3376], [0.6090, 0.2180, 0.7168], [0.9463, 0.8924, 0.3944]]
}

=====

# 4
{
  "formula": "CoWCl2",
  "functional": "meta-GGA SCAN",
  "state": "single point on PBEsol structure",
  "e_form_raw_mev_per_atom": -158,
  "dos_ef_per_ev_atom": 0.4235,
  "energy_ev_per_atom": -25.8947,
  "space_group": "No. 8",
  "lattice": [[3.1117, -0.0176, 0.2050], [-1.5334, 2.7076, -0.2050], [-0.6286, -1.4392, 8.1072]],
  "species": ["Co", "W", "Cl", "Cl"],
  "fractional_positions": [[0.8784, 0.6377, 0.5161], [0.6168, 0.1036, 0.7204], [0.0243, 0.9071, 0.9314], [0.4805, 0.8517, 0.3322]]
}

=====

| no. | spin magnetization (μB per cell) |
| --- | --- |
| 1 | 0.001 |
| 2 | 0.000 |
| 3 | 0.065 |
| 4 | 1.008 |